SiWN2F | GGA+U | optimized geometry

abc: 4.0474 4.0474 4.0833
angles: 90.00 90.00 90.00
Element x y z (fractional)
Si 0.0000 0.0000 0.0000
W 0.5000 0.5000 0.5000
N 0.0000 0.5000 0.5000
N 0.5000 0.0000 0.5000
F 0.5000 0.5000 0.0000

Results
theoretical density = 6.43 g cm⁻³
energy relative to the lowest polymorph listed for this composition = 1.578 eV/f.u.
density of states at the Fermi level = 1.69 states/eV/f.u.
magnetic moment = 1.0 μB per formula unit